No. 1
VASP calculation (PBE) on a relaxed BaAgCl4 crystal.

Values from the calculation:
For the raw total energy, the calculation gives -3.39 eV/atom. The uncorrected formation energy is -8.2 eV per formula unit. The relative energy among the computed polymorphs is 0.034 eV/atom.

Unit cell a=7.243 b=7.243 c=14.156 alpha=90.00 beta=90.00 gamma=90.00
Space group I4_1/a (No. 88, origin choice 2)
Unique sites:
Ba: 0.000 0.250 0.125
Ag: 0.000 0.250 0.625
Cl: 0.138 0.458 0.317

No. 2
VASP calculation (PBE) on a relaxed BaAg3Cl6 crystal.

Values from the calculation:
For the raw total energy, the calculation gives -3.18 eV/atom. The uncorrected formation energy is -10.2 eV per formula unit.

Unit cell a=9.269 b=13.459 c=4.610 alpha=90.00 beta=90.00 gamma=90.00
Space group Cmmm (No. 65)
Unique sites:
Ba: 0.000 0.000 0.000
Ag: 0.000 0.500 0.000
Ag: 0.250 0.250 0.500
Cl: 0.000 0.157 0.500
Cl: 0.195 0.373 0.000

No. 3
VASP calculation (PBE) on a relaxed BaAgCl5 crystal.

Values from the calculation:
For the raw total energy, the calculation gives -3.17 eV/atom. The uncorrected formation energy is -8.2 eV per formula unit.

Unit cell a=11.148 b=6.430 c=11.766 alpha=90.00 beta=112.61 gamma=90.00
Space group C2/c (No. 15)
Unique sites:
Ba: 0.000 0.167 0.250
Ag: 0.250 0.250 0.000
Cl: 0.000 0.329 0.750
Cl: 0.161 0.058 0.541
Cl: 0.171 0.438 0.129

No. 4
VASP calculation (PBE) on a relaxed BaAg4Cl8 crystal.

Values from the calculation:
For the raw total energy, the calculation gives -2.98 eV/atom. The uncorrected formation energy is -10.7 eV per formula unit.

Unit cell a=7.8956 b=7.8956 c=21.6968 alpha=90.00 beta=90.00 gamma=120.00
Space group R-3m (No. 166, hexagonal axes)
Unique sites:
Ba: 0.0000 0.0000 0.0000
Ag: 0.0000 0.0000 0.5000
Ag: 0.0000 0.5000 0.5000
Cl: 0.0000 0.0000 0.2229
Cl: 0.0037 0.5019 0.2376